1.
First-principles (SCAN) data for Rb2P2Pt at its PBEsol-relaxed geometry, as listed in Alexandria.

Cell: 6.0518 6.4326 7.8606 Å, 65.85 90.00 90.00°
Fractional positions:
P: 0.7500 0.2749 0.7903
P: 0.7500 0.9348 0.7903
Rb: 0.2500 0.5787 0.8426
P: 0.2500 0.0652 0.2097
Rb: 0.7500 0.4213 0.1574
Rb: 0.7500 0.7890 0.4220
P: 0.2500 0.7251 0.2097
Pt: 0.0000 0.0000 0.0000
Rb: 0.2500 0.2110 0.5780
Pt: 0.5000 0.0000 0.0000

Results
crystal system	orthorhombic
energy of formation	-0.65	eV/atom
space group	Cmcm
spin magnetization	0.0	μB per formula unit

=====

2.
First-principles (SCAN) data for KYAu2 at its PBEsol-relaxed geometry, as listed in Alexandria.

Cell: 4.2609 4.2609 6.0372 Å, 90.00 90.00 90.00°
Fractional positions:
Au: 0.0000 0.0000 0.5000
Au: 0.5000 0.5000 0.0000
K: 0.0000 0.0000 0.0000
Y: 0.5000 0.5000 0.5000

Results
crystal system	tetragonal
energy of formation	-0.46	eV/atom
space group	P4/mmm
spin magnetization	0.0	μB per formula unit
E above lowest polymorph	28.9	kJ/mol of atoms

=====

3.
First-principles (SCAN) data for ScReB2Sb at its PBEsol-relaxed geometry, as listed in Alexandria.

Cell: 4.1630 4.1630 5.2044 Å, 90.00 90.00 90.00°
Last column: magnetic moment on the atom in μB.
Fractional positions:
B: 0.5000 0.0000 0.0000  0.10
B: 0.0000 0.5000 0.0000  0.10
Sc: 0.0000 0.0000 0.0000  0.13
Re: 0.5000 0.5000 0.5000  -2.00
Sb: 0.0000 0.0000 0.5000  -0.01

Results
crystal system	tetragonal
formation energy from raw total energies	2.274	eV per atom
space group	P4/mmm
spin magnetization	2.0	μB per formula unit